A relaxed structure of Cr2InCu. Source: Alexandria via LeMat-Bulk, functional GGA-PBEsol.

a = 2.8328 Å, b = 2.8328 Å, c = 8.3869 Å
α = 80.28°, β = 80.28°, γ = 60.00°
Last column: nearest neighbours and their distance in Å.
Atoms (fractional coordinates):
Cr (0.7426, 0.7426, 0.7721)  3 Cr 2.23
Cr (0.0148, 0.0148, 0.9555)  3 Cr 2.23
In (0.2509, 0.2509, 0.2472)  3 Cu 2.81, 6 In 2.83, 3 Cr 2.90
Cu (0.4916, 0.4916, 0.5252)  3 Cr 2.61, 3 In 2.81, 6 Cu 2.83

The value obtained for the volume is 57 Å³ per cell. The space group is R3m, No. 160. As for the density of states at the Fermi level: 0.907 states/eV per atom. For the formation enthalpy at 0 K, the calculation gives 439.7 meV/atom.

---

A relaxed structure of KLiAu. Source: Alexandria via LeMat-Bulk, functional GGA-PBEsol.

a = 3.4868 Å, b = 3.7229 Å, c = 6.3933 Å
α = 106.93°, β = 105.82°, γ = 90.00°
Last column: nearest neighbours and their distance in Å.
Atoms (fractional coordinates):
K (0.3441, 0.3441, 0.6882)  1 Li 3.08
Au (0.0488, 0.0488, 0.0976)  4 Li 2.64
Li (0.6071, 0.6071, 0.2141)  4 Au 2.64

The value obtained for the volume is 76 Å³ per cell. The space group is Imm2, No. 44. As for the density of states at the Fermi level: 0.438 states/eV per atom. For the formation enthalpy at 0 K, the calculation gives -172.4 meV/atom.

---

A relaxed structure of InPPdCl2. Source: Alexandria via LeMat-Bulk, functional GGA-PBEsol.

a = 4.4977 Å, b = 5.0248 Å, c = 5.0248 Å
α = 90.00°, β = 90.00°, γ = 90.00°
Last column: nearest neighbours and their distance in Å.
Atoms (fractional coordinates):
P (0.5000, 0.0000, 0.0000)  2 Pd 2.25
Cl (0.0000, 0.0000, 0.5000)  2 Pd 2.51
Cl (0.0000, 0.5000, 0.0000)  2 Pd 2.51
In (0.5000, 0.5000, 0.5000)  8 Cl 3.37, 4 P 3.55
Pd (0.0000, 0.0000, 0.0000)  2 P 2.25, 4 Cl 2.51

The value obtained for the volume is 114 Å³ per cell. The space group is P4/mmm, No. 123. As for the density of states at the Fermi level: 0.775 states/eV per atom. As for the uncorrected formation energy: -0.27 eV per formula unit.

---

A relaxed structure of Cd2IrAu. Source: Alexandria via LeMat-Bulk, functional GGA-PBEsol.

a = 3.0721 Å, b = 4.7938 Å, c = 4.7938 Å
α = 105.11°, β = 90.00°, γ = 90.00°
Last column: nearest neighbours and their distance in Å.
Atoms (fractional coordinates):
Ir (0.5000, 0.0000, 0.0000)  8 Cd 2.85, 2 Au 2.91, 2 Ir 3.07
Cd (0.0000, 0.0000, 0.5000)  4 Ir 2.85, 4 Au 2.85, 4 Cd 2.91-3.07
Cd (0.0000, 0.5000, 0.0000)  4 Au 2.85, 4 Ir 2.85, 4 Cd 2.91-3.07
Au (0.5000, 0.5000, 0.5000)  8 Cd 2.85, 2 Ir 2.91, 2 Au 3.07

The value obtained for the volume is 68 Å³ per cell. The space group is Cmmm, No. 65. As for the density of states at the Fermi level: 0.360 states/eV per atom. For the formation enthalpy at 0 K, the calculation gives 26.7 meV/atom.

---

A relaxed structure of Zr2CdTc. Source: Alexandria via LeMat-Bulk, functional GGA-PBEsol.

a = 3.1430 Å, b = 3.1430 Å, c = 9.3713 Å
α = 80.35°, β = 80.35°, γ = 60.00°
Last column: nearest neighbours and their distance in Å.
Atoms (fractional coordinates):
Zr (0.7490, 0.7490, 0.7529)  3 Cd 3.11, 9 Zr 3.14
Zr (0.9893, 0.9893, 0.0321)  3 Tc 2.62
Tc (0.2543, 0.2543, 0.2371)  3 Zr 2.62, 3 Cd 2.86
Cd (0.5074, 0.5074, 0.4778)  3 Tc 2.86, 3 Zr 3.11, 6 Cd 3.14

The value obtained for the volume is 79 Å³ per cell. The space group is R3m, No. 160. As for the density of states at the Fermi level: 1.159 states/eV per atom. For the formation enthalpy at 0 K, the calculation gives 191.8 meV/atom.

---

A relaxed structure of YTmAg2. Source: Alexandria via LeMat-Bulk, functional GGA-PBEsol.

a = 5.0207 Å, b = 5.0207 Å, c = 5.0207 Å
α = 60.00°, β = 60.00°, γ = 60.00°
Last column: nearest neighbours and their distance in Å.
Atoms (fractional coordinates):
Tm (0.5000, 0.5000, 0.5000)  8 Ag 3.07
Ag (0.2500, 0.2500, 0.2500)  4 Tm 3.07, 4 Y 3.07
Ag (0.7500, 0.7500, 0.7500)  4 Y 3.07, 4 Tm 3.07
Y (0.0000, 0.0000, 0.0000)  8 Ag 3.07

The value obtained for the volume is 89 Å³ per cell. The space group is Fm-3m, No. 225. As for the density of states at the Fermi level: 0.569 states/eV per atom. For the formation enthalpy at 0 K, the calculation gives -347.1 meV/atom.

---

A relaxed structure of CrTc3Pd. Source: Alexandria via LeMat-Bulk, functional GGA-PBEsol.

a = 4.3043 Å, b = 4.3043 Å, c = 4.3043 Å
α = 90.00°, β = 90.00°, γ = 90.00°
Last column: nearest neighbours and their distance in Å.
Atoms (fractional coordinates):
Tc (0.0000, 0.5000, 0.0000)  2 Cr 2.15
Tc (0.0000, 0.0000, 0.5000)  2 Cr 2.15
Tc (0.5000, 0.0000, 0.0000)  2 Cr 2.15
Cr (0.0000, 0.0000, 0.0000)  6 Tc 2.15
Pd (0.5000, 0.5000, 0.5000)  12 Tc 3.04

The value obtained for the volume is 80 Å³ per cell. The space group is Pm-3m, No. 221. As for the density of states at the Fermi level: 0.911 states/eV per atom. For the formation enthalpy at 0 K, the calculation gives 1244.5 meV/atom.

---

A relaxed structure of Nb5PbSe8. Source: Alexandria via LeMat-Bulk, functional GGA-PBEsol.

a = 3.4015 Å, b = 9.3704 Å, c = 9.2562 Å
α = 102.80°, β = 90.00°, γ = 100.46°
Last column: nearest neighbours and their distance in Å.
Atoms (fractional coordinates):
Nb (0.0000, 0.0000, 0.0000)  6 Se 2.63-2.64
Nb (0.6413, 0.2826, 0.0004)  5 Se 2.53-2.70
Nb (0.2879, 0.5758, 0.6319)  6 Se 2.53-2.73
Nb (0.3587, 0.7174, 0.9996)  5 Se 2.53-2.70
Nb (0.7121, 0.4242, 0.3681)  6 Se 2.53-2.73
Se (0.2427, 0.4853, 0.1594)  5 Nb 2.70-2.86
Se (0.0842, 0.1684, 0.8047)  3 Nb 2.53-2.63
Se (0.9158, 0.8316, 0.1953)  3 Nb 2.53-2.63
Se (0.7573, 0.5147, 0.8406)  5 Nb 2.70-2.86
Se (0.8499, 0.6997, 0.4884)  3 Nb 2.53-2.58
Se (0.1501, 0.3003, 0.5116)  3 Nb 2.53-2.58
Se (0.4305, 0.8611, 0.7968)  4 Nb 2.53-2.73
Se (0.5695, 0.1389, 0.2032)  4 Nb 2.53-2.73
Pb (0.5000, 0.0000, 0.5000)  10 Se 3.23-3.36, 2 Pb 3.40

The value obtained for the volume is 283 Å³ per cell. The space group is C2/m, No. 12. As for the density of states at the Fermi level: 0.382 states/eV per atom. As for the uncorrected formation energy: -11.36 eV per formula unit.

---

A relaxed structure of AlSiSe2. Source: Alexandria via LeMat-Bulk, functional GGA-PBEsol.

a = 3.7909 Å, b = 3.7909 Å, c = 6.6743 Å
α = 73.50°, β = 73.50°, γ = 60.00°
Last column: nearest neighbours and their distance in Å.
Atoms (fractional coordinates):
Si (0.0000, 0.0000, 0.0000)  6 Se 2.72
Al (0.5000, 0.5000, 0.5000)  6 Se 2.67
Se (0.2476, 0.2476, 0.2572)  3 Al 2.67, 3 Si 2.72
Se (0.7524, 0.7524, 0.7428)  3 Al 2.67, 3 Si 2.72

The value obtained for the volume is 78 Å³ per cell. The space group is R-3m, No. 166. As for the density of states at the Fermi level: 0.319 states/eV per atom. As for the uncorrected formation energy: -0.88 eV per formula unit.

---

A relaxed structure of In2CoPt. Source: Alexandria via LeMat-Bulk, functional GGA-PBEsol.

a = 3.0256 Å, b = 3.0256 Å, c = 9.0002 Å
α = 80.32°, β = 80.32°, γ = 60.00°
Last column: nearest neighbours and their distance in Å.
Atoms (fractional coordinates):
In (0.7583, 0.7583, 0.7251)  3 Pt 2.81, 6 In 3.03
In (0.9884, 0.9884, 0.0347)  3 Co 2.68
Co (0.2451, 0.2451, 0.2646)  3 Pt 2.55, 3 In 2.68
Pt (0.5082, 0.5082, 0.4755)  3 Co 2.55, 3 In 2.81

The value obtained for the volume is 70 Å³ per cell. The space group is R3m, No. 160. As for the density of states at the Fermi level: 0.793 states/eV per atom. For the formation enthalpy at 0 K, the calculation gives 186.3 meV/atom.

---

A relaxed structure of CaCd2Ag. Source: Alexandria via LeMat-Bulk, functional GGA-PBEsol.

a = 4.9500 Å, b = 4.9500 Å, c = 4.9500 Å
α = 60.00°, β = 60.00°, γ = 60.00°
Last column: nearest neighbours and their distance in Å.
Atoms (fractional coordinates):
Cd (0.2500, 0.2500, 0.2500)  4 Cd 3.03, 4 Ag 3.03
Cd (0.0000, 0.0000, 0.0000)  4 Ca 3.03, 4 Cd 3.03
Ca (0.7500, 0.7500, 0.7500)  4 Ag 3.03, 4 Cd 3.03
Ag (0.5000, 0.5000, 0.5000)  4 Cd 3.03, 4 Ca 3.03

The value obtained for the volume is 86 Å³ per cell. The space group is F-43m, No. 216. As for the density of states at the Fermi level: 0.464 states/eV per atom. For the formation enthalpy at 0 K, the calculation gives -251.2 meV/atom.

---

A relaxed structure of CdRu2Br. Source: Alexandria via LeMat-Bulk, functional GGA-PBEsol.

a = 3.0845 Å, b = 3.0845 Å, c = 6.5587 Å
α = 90.00°, β = 90.00°, γ = 90.00°
Last column: nearest neighbours and their distance in Å.
Atoms (fractional coordinates):
Ru (0.0000, 0.0000, 0.7727)  4 Br 2.64, 4 Cd 2.82
Ru (0.0000, 0.0000, 0.2273)  4 Br 2.64, 4 Cd 2.82
Br (0.5000, 0.5000, 0.0000)  8 Ru 2.64
Cd (0.5000, 0.5000, 0.5000)  8 Ru 2.82, 4 Cd 3.08

The value obtained for the volume is 62 Å³ per cell. The space group is P4/mmm, No. 123. As for the density of states at the Fermi level: 0.777 states/eV per atom. As for the uncorrected formation energy: 2.97 eV per formula unit.

---

A relaxed structure of NiSb2Rh. Source: Alexandria via LeMat-Bulk, functional GGA-PBEsol.

a = 3.8411 Å, b = 3.8411 Å, c = 5.4063 Å
α = 110.81°, β = 110.81°, γ = 90.00°
Last column: nearest neighbours and their distance in Å.
Atoms (fractional coordinates):
Ni (0.5000, 0.5000, 0.0000)  8 Sb 2.72-3.03, 4 Rh 3.03
Sb (0.7500, 0.2500, 0.5000)  4 Rh 2.72, 4 Sb 3.03, 4 Ni 3.03
Sb (0.0000, 0.0000, 0.0000)  4 Ni 2.72, 4 Sb 3.03, 4 Rh 3.03
Rh (0.2500, 0.7500, 0.5000)  8 Sb 2.72-3.03, 4 Ni 3.03

The value obtained for the volume is 69 Å³ per cell. The space group is I-4m2, No. 119. As for the density of states at the Fermi level: 0.817 states/eV per atom. As for the uncorrected formation energy: 0.24 eV per formula unit.

---

A relaxed structure of BaLa2Se. Source: Alexandria via LeMat-Bulk, functional GGA-PBEsol.

a = 4.0165 Å, b = 4.0165 Å, c = 8.6811 Å
α = 90.00°, β = 90.00°, γ = 90.00°
Last column: nearest neighbours and their distance in Å.
Atoms (fractional coordinates):
La (0.0000, 0.0000, 0.0523)  1 Se 3.23, 4 La 3.61
La (0.5000, 0.5000, 0.3095)  4 Se 3.01
Ba (0.5000, 0.5000, 0.7135)  1 La 3.51, 4 Se 3.79
Se (0.0000, 0.0000, 0.4246)  5 La 3.01-3.23

The value obtained for the volume is 140 Å³ per cell. The space group is P4mm, No. 99. As for the density of states at the Fermi level: 1.199 states/eV per atom. As for the uncorrected formation energy: -3.05 eV per formula unit.

---

A relaxed structure of SrBeNi2. Source: Alexandria via LeMat-Bulk, functional GGA-PBEsol.

a = 3.8919 Å, b = 3.8919 Å, c = 5.6608 Å
α = 69.84°, β = 69.84°, γ = 60.00°
Last column: nearest neighbours and their distance in Å.
Atoms (fractional coordinates):
Sr (0.4967, 0.4967, 0.5082)  1 Be 2.86, 1 Ni 2.88
Ni (0.0094, 0.0094, 0.9722)  3 Be 2.25, 3 Ni 2.30
Ni (0.3125, 0.3125, 0.0628)  3 Ni 2.30, 3 Be 2.31
Be (0.6813, 0.6813, 0.9569)  6 Ni 2.25-2.31

The value obtained for the volume is 68 Å³ per cell. The space group is R3m, No. 160. As for the density of states at the Fermi level: 0.746 states/eV per atom. For the formation enthalpy at 0 K, the calculation gives -80.6 meV/atom.

---

A relaxed structure of Li2CuP2O7. Source: Alexandria via LeMat-Bulk, functional GGA-PBEsol.

a = 5.5230 Å, b = 6.0675 Å, c = 8.6300 Å
α = 108.21°, β = 94.92°, γ = 104.39°
Last column: nearest neighbours and their distance in Å.
Atoms (fractional coordinates):
P (0.3811, 0.3045, 0.1260)  4 O 1.51-1.63
P (0.6189, 0.6955, 0.8740)  4 O 1.51-1.63
P (0.7526, 0.8502, 0.5886)  4 O 1.50-1.60
P (0.2474, 0.1498, 0.4114)  4 O 1.50-1.60
Li (0.2800, 0.1976, 0.7706)  4 O 1.96-2.03
Li (0.8517, 0.2465, 0.0312)  3 O 1.93-1.96
Li (0.7200, 0.8024, 0.2294)  4 O 1.96-2.03
Li (0.1483, 0.7535, 0.9688)  3 O 1.93-1.96
O (0.9397, 0.6896, 0.5725)  1 P 1.57
O (0.4176, 0.2096, 0.2812)  2 P 1.60-1.63
O (0.1852, 0.4502, 0.1615)  1 P 1.55
O (0.0810, 0.8854, 0.3254)  1 P 1.54
O (0.5774, 0.7936, 0.4301)  1 P 1.50
O (0.6482, 0.4506, 0.1292)  1 P 1.51
O (0.3518, 0.5494, 0.8708)  1 P 1.51
O (0.7302, 0.9150, 0.0315)  1 P 1.52
O (0.0603, 0.3104, 0.4275)  1 P 1.57
O (0.4226, 0.2064, 0.5699)  1 P 1.50
O (0.9190, 0.1146, 0.6746)  1 P 1.54
O (0.5824, 0.7904, 0.7188)  2 P 1.60-1.63
O (0.8148, 0.5498, 0.8385)  1 P 1.55
O (0.2698, 0.0850, 0.9685)  1 P 1.52
Cu (0.8888, 0.3926, 0.6229)  4 O 1.92-1.99
Cu (0.1112, 0.6074, 0.3771)  4 O 1.92-1.99

The value obtained for the volume is 262 Å³ per cell. The space group is P-1, No. 2. As for the density of states at the Fermi level: 0.024 states/eV per atom. As for the uncorrected formation energy: -23.94 eV per formula unit.

---

A relaxed structure of Sb4S3N2. Source: Alexandria via LeMat-Bulk, functional GGA-PBEsol.

a = 3.6536 Å, b = 7.4786 Å, c = 8.2538 Å
α = 68.93°, β = 77.21°, γ = 75.86°
Last column: nearest neighbours and their distance in Å.
Atoms (fractional coordinates):
Sb (0.6578, 0.9209, 0.7635)  1 N 2.14
Sb (0.8618, 0.4155, 0.8609)  3 N 2.16-2.22
Sb (0.3422, 0.0791, 0.2365)  1 N 2.14
Sb (0.1382, 0.5845, 0.1391)  3 N 2.16-2.22
S (0.6948, 0.2465, 0.3640)  2 Sb 2.58
S (0.3052, 0.7536, 0.6360)  2 Sb 2.58
S (0.0000, 0.0000, 0.0000)  6 Sb 2.83-2.86
N (0.6889, 0.6487, 0.9735)  4 Sb 2.14-2.22
N (0.3111, 0.3513, 0.0265)  4 Sb 2.14-2.22

The value obtained for the volume is 202 Å³ per cell. The space group is C2/m, No. 12. As for the density of states at the Fermi level: 0.009 states/eV per atom. As for the uncorrected formation energy: -0.68 eV per formula unit.

---

A relaxed structure of HgTePb3. Source: Alexandria via LeMat-Bulk, functional GGA-PBEsol.

a = 5.6128 Å, b = 5.6128 Å, c = 5.6128 Å
α = 90.00°, β = 90.00°, γ = 90.00°
Last column: nearest neighbours and their distance in Å.
Atoms (fractional coordinates):
Te (0.5000, 0.5000, 0.5000)  12 Pb 3.97
Pb (0.0000, 0.0000, 0.5000)  2 Hg 2.81
Pb (0.5000, 0.0000, 0.0000)  2 Hg 2.81
Pb (0.0000, 0.5000, 0.0000)  2 Hg 2.81
Hg (0.0000, 0.0000, 0.0000)  6 Pb 2.81

The value obtained for the volume is 177 Å³ per cell. The space group is Pm-3m, No. 221. As for the density of states at the Fermi level: 0.481 states/eV per atom. As for the uncorrected formation energy: 1.99 eV per formula unit.

---

A relaxed structure of IrPdS2Cl. Source: Alexandria via LeMat-Bulk, functional GGA-PBEsol.

a = 4.5111 Å, b = 4.5801 Å, c = 4.5801 Å
α = 90.00°, β = 90.00°, γ = 90.00°
Last column: nearest neighbours and their distance in Å.
Atoms (fractional coordinates):
Ir (0.5000, 0.5000, 0.5000)  8 S 3.21, 4 Cl 3.24
Cl (0.5000, 0.0000, 0.0000)  2 Pd 2.26
S (0.0000, 0.5000, 0.0000)  2 Pd 2.29
S (0.0000, 0.0000, 0.5000)  2 Pd 2.29
Pd (0.0000, 0.0000, 0.0000)  2 Cl 2.26, 4 S 2.29

The value obtained for the volume is 95 Å³ per cell. The space group is P4/mmm, No. 123. As for the density of states at the Fermi level: 1.175 states/eV per atom. As for the uncorrected formation energy: 5.80 eV per formula unit.

---

A relaxed structure of YTl3Os. Source: Alexandria via LeMat-Bulk, functional GGA-PBEsol.

a = 5.6095 Å, b = 5.6095 Å, c = 5.6095 Å
α = 90.00°, β = 90.00°, γ = 90.00°
Last column: nearest neighbours and their distance in Å.
Atoms (fractional coordinates):
Tl (0.5000, 0.0000, 0.0000)  2 Y 2.80
Tl (0.0000, 0.0000, 0.5000)  2 Y 2.80
Tl (0.0000, 0.5000, 0.0000)  2 Y 2.80
Y (0.0000, 0.0000, 0.0000)  6 Tl 2.80
Os (0.5000, 0.5000, 0.5000)  12 Tl 3.97

The value obtained for the volume is 177 Å³ per cell. The space group is Pm-3m, No. 221. As for the density of states at the Fermi level: 1.553 states/eV per atom. For the formation enthalpy at 0 K, the calculation gives 1941.3 meV/atom.